Y2BBr (PBE, relaxed); formation energy from raw total energies = -0.342 eV per atom; crystal system = tetragonal
1.0
-3.151 3.151 5.850
3.151 -3.151 5.850
3.151 3.151 -5.850
Y B Br
4 2 2
Cartesian
4.727 1.110 -1.462 Y
1.110 1.576 1.462 Y
-1.576 2.041 4.387 Y
2.041 1.576 7.312 Y
0.000 0.000 0.000 B
0.000 3.151 2.925 B
3.151 0.000 2.925 Br
0.000 0.000 5.850 Br